(1)
# Ac2Pm4PrSm, relaxed, DFT PBE
data_Ac2Pm4PrSm
_cell_length_a 7.516
_cell_length_b 7.531
_cell_length_c 10.470
_cell_angle_alpha 89.94
_cell_angle_beta 89.97
_cell_angle_gamma 89.93
_symmetry_space_group_name_H-M 'P -1'
_symmetry_Int_Tables_number 2
loop_
_symmetry_equiv_pos_as_xyz
'x,y,z'
'-x,-y,-z'
loop_
_atom_site_label
_atom_site_type_symbol
_atom_site_fract_x
_atom_site_fract_y
_atom_site_fract_z
_atom_site_occupancy
Ac1 Ac 0.000 0.000 0.000 1
Ac2 Ac 0.000 0.000 0.500 1
Ac3 Ac 0.000 0.500 0.000 1
Ac4 Ac 0.500 0.000 0.000 1
Pm1 Pm 0.256 0.254 0.256 1
Pm2 Pm 0.256 0.254 0.744 1
Pm3 Pm 0.256 0.746 0.256 1
Pm4 Pm 0.256 0.746 0.744 1
Pr1 Pr 0.000 0.500 0.500 1
Pr2 Pr 0.500 0.500 0.000 1
Sm1 Sm 0.500 0.000 0.500 1
Sm2 Sm 0.500 0.500 0.500 1
# - DOS(E_F) (states/eV per cell) = 25.82
# - DFT formation energy (eV per formula unit) = 0.2
# - crystal system = triclinic

(2)
# LiTi2CdO6, relaxed, DFT PBE
data_LiTi2CdO6
_cell_length_a 9.568
_cell_length_b 10.287
_cell_length_c 6.167
_cell_angle_alpha 90.00
_cell_angle_beta 115.47
_cell_angle_gamma 90.00
_symmetry_space_group_name_H-M 'C 1 2/c 1'
_symmetry_Int_Tables_number 15
loop_
_symmetry_equiv_pos_as_xyz
'x,y,z'
'-x,-y,-z'
'-x,y,-z+1/2'
'x,-y,z+1/2'
'x+1/2,y+1/2,z'
'-x+1/2,-y+1/2,-z'
'-x+1/2,y+1/2,-z+1/2'
'x+1/2,-y+1/2,z+1/2'
loop_
_atom_site_label
_atom_site_type_symbol
_atom_site_fract_x
_atom_site_fract_y
_atom_site_fract_z
_atom_site_occupancy
Li1 Li 0.000 0.194 0.250 1
Ti1 Ti 0.151 0.417 0.696 1
Cd1 Cd 0.000 0.099 0.750 1
O1 O 0.110 0.252 0.594 1
O2 O 0.113 0.450 0.965 1
O3 O 0.136 0.075 0.166 1
# - raw formation energy (eV per atom) = -2.228
# - DOS(E_F) (states/eV per cell) = 21.09
# - crystal system = monoclinic

(3)
# NbSnSe2I, relaxed, DFT PBE
data_NbSnSe2I
_cell_length_a 5.173
_cell_length_b 5.173
_cell_length_c 5.832
_cell_angle_alpha 90.00
_cell_angle_beta 90.00
_cell_angle_gamma 90.00
_symmetry_space_group_name_H-M 'P 4/m m m'
_symmetry_Int_Tables_number 123
_symmetry_space_group_name_Hall '-P 4 2'
loop_
_atom_site_label
_atom_site_type_symbol
_atom_site_fract_x
_atom_site_fract_y
_atom_site_fract_z
_atom_site_occupancy
Nb1 Nb 0.000 0.000 0.000 1
Sn1 Sn 0.000 0.000 0.500 1
Se1 Se 0.000 0.500 0.500 1
I1 I 0.500 0.500 0.000 1
# - raw formation energy (eV per atom) = 0.833
# - DOS(E_F) (states/eV per cell) = 5.84
# - crystal system = tetragonal

(4)
# Ta6Nb2Pd, relaxed, DFT PBE
data_Ta6Nb2Pd
_cell_length_a 7.164
_cell_length_b 14.551
_cell_length_c 3.198
_cell_angle_alpha 90.00
_cell_angle_beta 100.81
_cell_angle_gamma 90.00
_symmetry_space_group_name_H-M 'C 1 2/m 1'
_symmetry_Int_Tables_number 12
loop_
_symmetry_equiv_pos_as_xyz
'x,y,z'
'-x,-y,-z'
'-x,y,-z'
'x,-y,z'
'x+1/2,y+1/2,z'
'-x+1/2,-y+1/2,-z'
'-x+1/2,y+1/2,-z'
'x+1/2,-y+1/2,z'
loop_
_atom_site_label
_atom_site_type_symbol
_atom_site_fract_x
_atom_site_fract_y
_atom_site_fract_z
_atom_site_occupancy
Ta1 Ta 0.164 0.163 0.323 1
Ta2 Ta 0.166 0.000 0.827 1
Nb1 Nb 0.000 0.336 0.000 1
Pd1 Pd 0.000 0.500 0.500 1
# - DOS(E_F) (states/eV per cell) = 17.73
# - DFT formation energy (eV per formula unit) = 0.3
# - crystal system = monoclinic

(5)
# Mn4ReBr, relaxed, DFT PBE
data_Mn4ReBr
_cell_length_a 6.885
_cell_length_b 6.885
_cell_length_c 6.885
_cell_angle_alpha 90.00
_cell_angle_beta 90.00
_cell_angle_gamma 90.00
_symmetry_space_group_name_H-M 'F -4 3 m'
_symmetry_Int_Tables_number 216
_symmetry_space_group_name_Hall 'F -4 2 3'
loop_
_atom_site_label
_atom_site_type_symbol
_atom_site_fract_x
_atom_site_fract_y
_atom_site_fract_z
_atom_site_occupancy
Mn1 Mn 0.124 0.124 0.124 1
Re1 Re 0.250 0.250 0.750 1
Br1 Br 0.000 0.000 0.500 1
# - raw formation energy (eV per atom) = 0.829
# - DOS(E_F) (states/eV per cell) = 28.87
# - crystal system = cubic

(6)
# Rb2FePI6, relaxed, DFT PBE
data_Rb2FePI6
_cell_length_a 8.130
_cell_length_b 8.130
_cell_length_c 11.424
_cell_angle_alpha 90.00
_cell_angle_beta 90.00
_cell_angle_gamma 90.00
_symmetry_space_group_name_H-M 'I 4/m m m'
_symmetry_Int_Tables_number 139
_symmetry_space_group_name_Hall '-I 4 2'
loop_
_atom_site_label
_atom_site_type_symbol
_atom_site_fract_x
_atom_site_fract_y
_atom_site_fract_z
_atom_site_occupancy
Rb1 Rb 0.000 0.500 0.250 1
Fe1 Fe 0.000 0.000 0.000 1
P1 P 0.000 0.000 0.500 1
I1 I 0.000 0.000 0.248 1
I2 I 0.248 0.248 0.000 1
# - raw formation energy (eV per atom) = -0.488
# - DOS(E_F) (states/eV per cell) = 8.09
# - crystal system = tetragonal

(7)
# CsK2CdBr, relaxed, DFT PBE
data_CsK2CdBr
_cell_length_a 6.371
_cell_length_b 6.371
_cell_length_c 7.079
_cell_angle_alpha 90.00
_cell_angle_beta 90.00
_cell_angle_gamma 90.00
_symmetry_space_group_name_H-M 'P 4/m m m'
_symmetry_Int_Tables_number 123
_symmetry_space_group_name_Hall '-P 4 2'
loop_
_atom_site_label
_atom_site_type_symbol
_atom_site_fract_x
_atom_site_fract_y
_atom_site_fract_z
_atom_site_occupancy
Cs1 Cs 0.000 0.000 0.000 1
K1 K 0.000 0.500 0.500 1
Cd1 Cd 0.500 0.500 0.000 1
Br1 Br 0.000 0.000 0.500 1
# - raw formation energy (eV per atom) = -0.583
# - DOS(E_F) (states/eV per cell) = 3.63
# - relative energy among the computed polymorphs (meV/atom) = 0
# - crystal system = tetragonal

(8)
# Ba3Pu2ZnO9, relaxed, DFT PBE
data_Ba3Pu2ZnO9
_cell_length_a 6.0383
_cell_length_b 6.0383
_cell_length_c 7.4739
_cell_angle_alpha 90.00
_cell_angle_beta 90.00
_cell_angle_gamma 120.00
_symmetry_space_group_name_H-M 'P -3 m 1'
_symmetry_Int_Tables_number 164
_symmetry_space_group_name_Hall '-P 3 2"'
loop_
_atom_site_label
_atom_site_type_symbol
_atom_site_fract_x
_atom_site_fract_y
_atom_site_fract_z
_atom_site_occupancy
Ba1 Ba 0.0000 0.0000 0.0000 1
Ba2 Ba 0.3333 0.6667 0.6496 1
Pu1 Pu 0.3333 0.6667 0.1725 1
Zn1 Zn 0.0000 0.0000 0.5000 1
O1 O 0.0000 0.5000 0.0000 1
O2 O 0.1685 0.3370 0.3320 1
# - raw formation energy (eV per atom) = -2.672
# - DOS(E_F) (states/eV per cell) = 9.48
# - crystal system = trigonal

(9)
# NaMgV, relaxed, DFT PBE
data_NaMgV
_cell_length_a 4.362
_cell_length_b 6.457
_cell_length_c 8.781
_cell_angle_alpha 90.00
_cell_angle_beta 90.00
_cell_angle_gamma 90.00
_symmetry_space_group_name_H-M 'I m m a'
_symmetry_Int_Tables_number 74
_symmetry_space_group_name_Hall '-I 2b 2'
loop_
_atom_site_label
_atom_site_type_symbol
_atom_site_fract_x
_atom_site_fract_y
_atom_site_fract_z
_atom_site_occupancy
Na1 Na 0.000 0.250 0.147 1
Mg1 Mg 0.000 0.000 0.500 1
V1 V 0.000 0.250 0.772 1
# - DOS(E_F) (states/eV per cell) = 6.02
# - DFT formation energy (eV per formula unit) = 1.6
# - relative energy among the computed polymorphs (meV/atom) = 348
# - crystal system = orthorhombic

(10)
# CaGa2Co, relaxed, DFT PBE
data_CaGa2Co
_cell_length_a 14.734
_cell_length_b 6.894
_cell_length_c 5.675
_cell_angle_alpha 90.00
_cell_angle_beta 90.00
_cell_angle_gamma 90.00
_symmetry_space_group_name_H-M 'P n m a'
_symmetry_Int_Tables_number 62
loop_
_symmetry_equiv_pos_as_xyz
'x,y,z'
'-x,-y,-z'
'-x+1/2,-y,z+1/2'
'x+1/2,y,-z+1/2'
'x+1/2,-y+1/2,-z+1/2'
'-x+1/2,y+1/2,z+1/2'
'-x,y+1/2,-z'
'x,-y+1/2,z'
loop_
_atom_site_label
_atom_site_type_symbol
_atom_site_fract_x
_atom_site_fract_y
_atom_site_fract_z
_atom_site_occupancy
Ca1 Ca 0.101 0.250 0.223 1
Ca2 Ca 0.132 0.750 0.020 1
Ga1 Ga 0.047 0.061 0.709 1
Ga2 Ga 0.212 0.549 0.528 1
Co1 Co 0.073 0.750 0.502 1
Co2 Co 0.194 0.250 0.766 1
# - DOS(E_F) (states/eV per cell) = 18.73
# - DFT formation energy (eV per formula unit) = -1.5
# - crystal system = orthorhombic